Record 1
Tb3Tm3Ge4 | PBE | optimized geometry

Unit cell a=4.2460 b=7.5286 c=7.5286 alpha=90.19 beta=90.00 gamma=90.00
With the nearest neighbours (Å) after each atom.
Positions (direct):
Ge 0.0000 0.3714 0.6286  1 Ge 2.71, 4 Tm 2.96-3.00
Tb 0.5000 0.3262 0.3272  6 Ge 3.02-3.13
Ge 0.0000 0.1262 0.1231  1 Ge 2.65, 1 Tm 2.97
Ge 0.0000 0.8769 0.8738  1 Ge 2.65, 1 Tm 2.97
Tm 0.0000 0.0000 0.4998  4 Ge 2.96-2.99
Tb 0.5000 0.6728 0.6738  6 Ge 3.02-3.13
Tm 0.0000 0.5002 0.0000  4 Ge 2.96-2.99
Ge 0.0000 0.6256 0.3744  1 Ge 2.71, 2 Tm 2.97, 2 Tb 3.03
Tm 0.5000 0.1729 0.8271  6 Ge 3.00-3.10
Tb 0.5000 0.8279 0.1721  6 Ge 3.03-3.11

Values from the calculation:
total magnetization = 0.00 μB per formula unit
D(E_F) = 8.07 states/eV/f.u.
calculated formation energy = -0.7908 eV per atom
symmetry = Amm2

---

Record 2
TbTmGe | PBE | optimized geometry

Unit cell a=4.1501 b=4.6932 c=4.6932 alpha=120.00 beta=90.00 gamma=90.00
With the nearest neighbours (Å) after each atom.
Positions (direct):
Tm 0.1065 0.0000 0.0000  3 Ge 2.79
Tb 0.6260 0.6667 0.3333  3 Ge 3.09, 3 Tm 3.36
Ge 0.2675 0.3333 0.6667  3 Tm 2.79, 3 Tb 3.09

Values from the calculation:
total magnetization = 0.00 μB per formula unit
D(E_F) = 1.27 states/eV/f.u.
calculated formation energy = -0.3843 eV per atom
symmetry = P3m1

---

Record 3
Tb2TmGe | PBE | optimized geometry

Unit cell a=3.4667 b=3.4667 c=11.6350 alpha=81.43 beta=81.43 gamma=60.00
With the nearest neighbours (Å) after each atom.
Positions (direct):
Tb 0.9157 0.9157 0.2530  1 Ge 2.90
Ge 0.0000 0.0000 0.0000  2 Tb 2.90
Tb 0.0843 0.0843 0.7470  1 Ge 2.90
Tm 0.5000 0.5000 0.5000  6 Tm 3.47, 6 Tb 3.47

Values from the calculation:
total magnetization = 0.00 μB per formula unit
D(E_F) = 3.57 states/eV/f.u.
calculated formation energy = 0.1401 eV per atom
symmetry = R-3m

---

Record 4
TbTmGe2 | PBE | optimized geometry

Unit cell a=3.9017 b=3.9017 c=7.8249 alpha=75.56 beta=75.56 gamma=60.00
With the nearest neighbours (Å) after each atom.
Positions (direct):
Tb 0.0000 0.0000 0.0000  6 Ge 2.95
Ge 0.2486 0.2486 0.2541  3 Tm 2.91, 3 Tb 2.95
Tm 0.5000 0.5000 0.5000  6 Ge 2.91
Ge 0.7514 0.7514 0.7459  3 Tm 2.91, 3 Tb 2.95

Values from the calculation:
total magnetization = 0.00 μB per formula unit
D(E_F) = 4.14 states/eV/f.u.
calculated formation energy = -0.6361 eV per atom
symmetry = R-3m

---

Record 5
TbTmGe2 | PBE | optimized geometry

Unit cell a=3.9922 b=4.7355 c=4.7355 alpha=90.00 beta=90.00 gamma=90.00
With the nearest neighbours (Å) after each atom.
Positions (direct):
Tb 0.5000 0.0000 0.0000  8 Ge 3.10, 4 Tm 3.35
Tm 0.5000 0.5000 0.5000  8 Ge 3.10, 4 Tb 3.35
Ge 0.0000 0.0000 0.5000  4 Tb 3.10, 4 Tm 3.10, 4 Ge 3.35
Ge 0.0000 0.5000 0.0000  4 Tb 3.10, 4 Tm 3.10, 4 Ge 3.35

Values from the calculation:
total magnetization = 0.00 μB per formula unit
D(E_F) = 2.79 states/eV/f.u.
calculated formation energy = -0.6255 eV per atom
symmetry = P4/mmm

---

Record 6
TbTmGe | PBE | optimized geometry

Unit cell a=4.8555 b=4.8555 c=4.8555 alpha=60.00 beta=60.00 gamma=60.00
With the nearest neighbours (Å) after each atom.
Positions (direct):
Ge 0.2500 0.2500 0.2500  4 Tb 2.97, 4 Tm 2.97
Tm 0.5000 0.5000 0.5000  4 Ge 2.97
Tb 0.0000 0.0000 0.0000  4 Ge 2.97

Values from the calculation:
total magnetization = 0.00 μB per formula unit
D(E_F) = 2.67 states/eV/f.u.
calculated formation energy = -0.5238 eV per atom
symmetry = F-43m

---

Record 7
TbTmGe2 | PBE | optimized geometry

Unit cell a=4.2602 b=3.9585 c=5.7526 alpha=90.00 beta=111.76 gamma=90.00
With the nearest neighbours (Å) after each atom.
Positions (direct):
Ge 0.1687 0.5000 0.8771  2 Ge 2.70, 1 Tb 2.95, 4 Tm 2.96
Ge 0.9972 0.0000 0.5326  2 Ge 2.70, 1 Tm 2.95, 4 Tb 2.96
Tb 0.4449 0.5000 0.4284  7 Ge 2.95-3.21
Tm 0.7202 0.0000 0.9798  7 Ge 2.95-3.20

Values from the calculation:
total magnetization = 0.00 μB per formula unit
D(E_F) = 2.60 states/eV/f.u.
calculated formation energy = -0.8563 eV per atom
symmetry = Amm2

---

Record 8
TbTm2Ge | PBE | optimized geometry

Unit cell a=3.5056 b=3.5056 c=11.0901 alpha=80.91 beta=80.91 gamma=60.00
With the nearest neighbours (Å) after each atom.
Positions (direct):
Ge 0.5000 0.5000 0.5000  6 Tm 2.87
Tm 0.8956 0.8956 0.3133  3 Ge 2.87
Tm 0.1044 0.1044 0.6867  3 Ge 2.87
Tb 0.0000 0.0000 0.0000  2 Tm 3.42, 6 Tb 3.51

Values from the calculation:
total magnetization = 0.00 μB per formula unit
D(E_F) = 5.46 states/eV/f.u.
calculated formation energy = -0.0337 eV per atom
symmetry = R-3m